A relaxed structure of CsCa3Br, computed with PBE.

```
data_CsCa3Br
_space_group_name_H-M_alt 'P m -3 m'
_space_group_IT_number 221
_space_group_name_Hall '-P 4 2 3'
_cell_length_a 7.830
_cell_length_b 7.830
_cell_length_c 7.830
_cell_angle_alpha 90.00
_cell_angle_beta 90.00
_cell_angle_gamma 90.00
loop_
_atom_site_label
_atom_site_type_symbol
_atom_site_fract_x
_atom_site_fract_y
_atom_site_fract_z
Cs1 Cs 0.000 0.000 0.000
Ca1 Ca 0.000 0.000 0.500
Br1 Br 0.500 0.500 0.500
```

Summary:
Magnetization ... 0.00 μB/f.u.
Excess energy over the best structure of this formula in the dataset ... 20.86 kcal/mol of atoms

---

A relaxed structure of CsCa2Br2, computed with PBE.

```
data_CsCa2Br2
_space_group_name_H-M_alt 'I 4/m m m'
_space_group_IT_number 139
_space_group_name_Hall '-I 4 2'
_cell_length_a 5.548
_cell_length_b 5.548
_cell_length_c 13.436
_cell_angle_alpha 90.00
_cell_angle_beta 90.00
_cell_angle_gamma 90.00
loop_
_atom_site_label
_atom_site_type_symbol
_atom_site_fract_x
_atom_site_fract_y
_atom_site_fract_z
Cs1 Cs 0.000 0.000 0.000
Ca1 Ca 0.000 0.000 0.362
Br1 Br 0.000 0.500 0.250
```

Summary:
Magnetization ... 0.00 μB/f.u.
Excess energy over the best structure of this formula in the dataset ... 0.00 kcal/mol of atoms

---

A relaxed structure of CsCaBr3, computed with PBE.

```
data_CsCaBr3
_space_group_name_H-M_alt 'R -3'
_space_group_IT_number 148
_space_group_name_Hall '-R 3'
_cell_length_a 7.8478
_cell_length_b 7.8478
_cell_length_c 23.9084
_cell_angle_alpha 90.00
_cell_angle_beta 90.00
_cell_angle_gamma 120.00
loop_
_atom_site_label
_atom_site_type_symbol
_atom_site_fract_x
_atom_site_fract_y
_atom_site_fract_z
Cs1 Cs 0.0000 0.0000 0.1367
Ca1 Ca 0.0000 0.0000 0.3364
Br1 Br 0.0068 0.4140 0.9272
```

Summary:
Magnetization ... 0.00 μB/f.u.
Calculated total energy ... -105.86 eV/cell

---

A relaxed structure of CsCaBr3, computed with PBE.

```
data_CsCaBr3
_space_group_name_H-M_alt 'P 63/m m c'
_space_group_IT_number 194
_space_group_name_Hall '-P 6c 2c'
_cell_length_a 5.7553
_cell_length_b 5.7553
_cell_length_c 11.9460
_cell_angle_alpha 90.00
_cell_angle_beta 90.00
_cell_angle_gamma 120.00
loop_
_atom_site_label
_atom_site_type_symbol
_atom_site_fract_x
_atom_site_fract_y
_atom_site_fract_z
Cs1 Cs 0.3333 0.6667 0.2500
Ca1 Ca 0.0000 0.0000 0.0000
Br1 Br 0.0000 0.0000 0.2500
Br2 Br 0.3333 0.6667 0.5559
```

Summary:
Magnetization ... 0.00 μB/f.u.
Calculated total energy ... -33.24 eV/cell

---

A relaxed structure of CsCaBr3, computed with PBE.

```
data_CsCaBr3
_space_group_name_H-M_alt 'P m -3 m'
_space_group_IT_number 221
_space_group_name_Hall '-P 4 2 3'
_cell_length_a 6.402
_cell_length_b 6.402
_cell_length_c 6.402
_cell_angle_alpha 90.00
_cell_angle_beta 90.00
_cell_angle_gamma 90.00
loop_
_atom_site_label
_atom_site_type_symbol
_atom_site_fract_x
_atom_site_fract_y
_atom_site_fract_z
Cs1 Cs 0.000 0.000 0.000
Ca1 Ca 0.500 0.500 0.500
Br1 Br 0.000 0.000 0.500
```

Summary:
Magnetization ... 0.00 μB/f.u.
Calculated total energy ... -12.00 eV/cell

---

A relaxed structure of Cs2CaBr, computed with PBE.

```
data_Cs2CaBr
_space_group_name_H-M_alt 'F m -3 m'
_space_group_IT_number 225
_space_group_name_Hall '-F 4 2 3'
_cell_length_a 10.037
_cell_length_b 10.037
_cell_length_c 10.037
_cell_angle_alpha 90.00
_cell_angle_beta 90.00
_cell_angle_gamma 90.00
loop_
_atom_site_label
_atom_site_type_symbol
_atom_site_fract_x
_atom_site_fract_y
_atom_site_fract_z
Cs1 Cs 0.250 0.250 0.250
Ca1 Ca 0.000 0.000 0.000
Br1 Br 0.000 0.000 0.500
```

Summary:
Magnetization ... 1.00 μB/f.u.
Excess energy over the best structure of this formula in the dataset ... 4.17 kcal/mol of atoms

---

- magnetization of number 5 (CsCaBr3)?
  0.00 μB/f.u.